# 1
This record from Alexandria via LeMat-Bulk describes LiCa2ZrMn after structural relaxation. The functional is GGA-PBEsol.

Unit cell a=5.6167 b=5.6167 c=4.6387 alpha=90.00 beta=90.00 gamma=90.00
Fractional coordinates of all 5 atoms:
Li 0.0000 0.0000 0.0000
Ca 0.0000 0.5000 0.5000
Ca 0.5000 0.0000 0.5000
Zr 0.5000 0.5000 0.0000
Mn 0.5000 0.5000 0.5000

Values from the calculation:
total magnetic moment = 1.292 μB/f.u.
final energy = -22.589 eV/cell
formation enthalpy at 0 K = 499 meV/atom

***

# 2
This record from Alexandria via LeMat-Bulk describes LiCaMo3 after structural relaxation. The functional is GGA-PBEsol.

Unit cell a=4.5608 b=4.5608 c=4.5608 alpha=90.00 beta=90.00 gamma=90.00
Fractional coordinates of all 5 atoms:
Li 0.0000 0.0000 0.0000
Ca 0.5000 0.5000 0.5000
Mo 0.0000 0.5000 0.5000
Mo 0.5000 0.0000 0.5000
Mo 0.5000 0.5000 0.0000

Values from the calculation:
total magnetic moment = 0.000 μB/f.u.
final energy = -26.070 eV/cell
formation enthalpy at 0 K = 2667 meV/atom

***

# 3
This record from Alexandria via LeMat-Bulk describes LiCa4Mo after structural relaxation. The functional is GGA-PBEsol.

Unit cell a=6.5850 b=6.5850 c=6.5850 alpha=60.00 beta=60.00 gamma=60.00
Fractional coordinates of all 6 atoms:
Li 0.0000 0.0000 0.0000
Ca 0.1269 0.6244 0.6244
Ca 0.6244 0.1269 0.6244
Ca 0.6244 0.6244 0.1269
Ca 0.6244 0.6244 0.6244
Mo 0.2500 0.2500 0.2500

Values from the calculation:
total magnetic moment = 4.348 μB/f.u.
final energy = -16.381 eV/cell
formation enthalpy at 0 K = 981 meV/atom

***

# 4
This record from Alexandria via LeMat-Bulk describes LiCaMo2 after structural relaxation. The functional is GGA-PBEsol.

Unit cell a=2.6172 b=2.6172 c=9.9416 alpha=90.00 beta=90.00 gamma=96.88
Fractional coordinates of all 4 atoms:
Li 0.0000 0.0000 0.0000
Ca 0.0000 0.0000 0.5000
Mo 0.5000 0.5000 0.2350
Mo 0.5000 0.5000 0.7650

Values from the calculation:
total magnetic moment = 0.000 μB/f.u.
final energy = -24.771 eV/cell
ΔE to the lowest computed polymorph = 0.821 eV/f.u.
formation enthalpy at 0 K = 716 meV/atom

***

# 5
This record from Alexandria via LeMat-Bulk describes LiCaMo2 after structural relaxation. The functional is GGA-PBEsol.

Unit cell a=2.6184 b=2.6184 c=9.8740 alpha=90.00 beta=90.00 gamma=90.00
Fractional coordinates of all 4 atoms:
Li 0.0000 0.0000 0.0000
Ca 0.0000 0.0000 0.5000
Mo 0.5000 0.5000 0.2341
Mo 0.5000 0.5000 0.7659

Values from the calculation:
total magnetic moment = 0.001 μB/f.u.
final energy = -24.750 eV/cell
ΔE to the lowest computed polymorph = 0.842 eV/f.u.
formation enthalpy at 0 K = 721 meV/atom

***

# 6
This record from Alexandria via LeMat-Bulk describes Li2CaMo after structural relaxation. The functional is GGA-PBEsol.

Unit cell a=5.3150 b=5.3150 c=5.5880 alpha=93.54 beta=93.54 gamma=29.15
Fractional coordinates of all 4 atoms:
Li 0.2421 0.2421 0.2027
Li 0.7579 0.7579 0.7973
Ca 0.0000 0.0000 0.5000
Mo 0.5000 0.5000 0.0000

Values from the calculation:
total magnetic moment = 0.003 μB/f.u.
final energy = -15.305 eV/cell
ΔE to the lowest computed polymorph = 0.000 eV/f.u.
formation enthalpy at 0 K = 632 meV/atom